[1]
Entry from Alexandria: Y3SnH after structural relaxation (PBE-GGA).

Cell: 4.230 6.933 8.555 Å, 104.16 90.00 90.00°
Each line ends with the local moment (μB).
Positions (direct):
Sn1 0.750 0.718 0.806  -0.01
Sn2 0.250 0.282 0.194  -0.01
H1 0.250 0.813 0.356  -0.01
Y1 0.750 0.254 0.924  0.02
Y2 0.250 0.746 0.076  0.02
Y3 0.250 0.921 0.636  0.24
Y4 0.750 0.593 0.368  0.22
H2 0.750 0.187 0.644  -0.01
Y5 0.750 0.079 0.364  0.24
Y6 0.250 0.407 0.632  0.22

## Properties
Spin magnetization, μB per cell: 1.911
Symmetry: P2_1/m
Calculated density, g/cm³: 5.3
Distance to the lowest polymorph of the same formula, meV/atom: 63.7



[2]
Entry from Alexandria: NpCo2Si2 after structural relaxation (PBE-GGA).

Cell: 3.900 3.900 9.544 Å, 90.00 90.00 90.00°
Each line ends with the local moment (μB).
Positions (direct):
Co1 0.000 0.500 0.369  -0.25
Co2 0.000 0.000 0.000  0.00
Np1 0.500 0.000 0.255  3.33
Co3 0.500 0.500 0.000  0.00
Np2 0.000 0.500 0.745  3.33
Co4 0.500 0.000 0.631  -0.25
Si1 0.500 0.000 0.872  -0.02
Si2 0.500 0.500 0.500  -0.01
Si3 0.000 0.000 0.500  -0.01
Si4 0.000 0.500 0.128  -0.02

## Properties
Spin magnetization, μB per cell: 6.461
Energy relative to the elements, uncorrected, eV per formula unit: -2.52
Symmetry: P4/nmm
Calculated density, g/cm³: 9.4



[3]
Entry from Alexandria: CePu2Tc after structural relaxation (PBE-GGA).

Cell: 3.874 4.790 4.790 Å, 90.00 90.00 90.00°
Each line ends with the local moment (μB).
Positions (direct):
Ce1 0.500 0.000 0.000  0.82
Pu1 0.000 0.000 0.500  5.20
Pu2 0.000 0.500 0.000  5.20
Tc1 0.500 0.500 0.500  -0.99

## Properties
Spin magnetization, μB per cell: 10.890
ΔE_f, eV per atom: 0.1916
Symmetry: P4/mmm
Calculated density, g/cm³: 13.6
Distance to the lowest polymorph of the same formula, meV/atom: 137.5



[4]
Entry from Alexandria: MgAg2Cl after structural relaxation (PBE-GGA).

Cell: 7.928 7.928 6.248 Å, 50.62 50.62 90.00°
Positions (direct):
Ag1 0.875 0.881 0.750
Ag2 0.119 0.625 0.250
Cl1 0.750 0.250 0.500
Ag3 0.631 0.125 0.250
Mg1 0.500 0.500 0.000
Mg2 0.250 0.750 0.500
Cl2 0.000 0.000 0.000
Ag4 0.375 0.369 0.750

## Properties
Spin magnetization, μB per cell: 0.000
Energy relative to the elements, uncorrected, eV per formula unit: -0.45
Symmetry: I-42d
Calculated density, g/cm³: 5.3
Distance to the lowest polymorph of the same formula, meV/atom: 295.2



no.,calculated total energy (eV/atom)
1,-5.77
2,-8.10
3,-11.05
4,-2.40